Here is a relaxed structure of AgSn2Se2 from Alexandria via LeMat-Bulk. Energies are from PBE.

Cell lengths 7.8186, 7.8186, 4.2004 Å; angles 90.00, 90.00, 90.00 degrees
Element x y z (fractional)
Ag 0.0000 0.0000 0.0000
Ag 0.5000 0.5000 0.0000
Sn 0.1536 0.3464 0.5000
Sn 0.3464 0.8464 0.5000
Sn 0.6536 0.1536 0.5000
Sn 0.8464 0.6536 0.5000
Se 0.1740 0.6740 0.0000
Se 0.3260 0.1740 0.0000
Se 0.6740 0.8260 0.0000
Se 0.8260 0.3260 0.0000

Space-group type = P4/mbm, No. 127
Spin magnetization = 0.00 μB/cell
Distance to the lowest polymorph of the same formula = 0.00 eV per formula unit
Formation energy (no corrections) = -0.08 eV per atom



Here is a relaxed structure of SrNiC3 from Alexandria via LeMat-Bulk. Energies are from PBE.

Cell lengths 4.4680, 4.4680, 4.4680 Å; angles 90.00, 90.00, 90.00 degrees
Element x y z (fractional)
Sr 0.0000 0.0000 0.0000
Ni 0.5000 0.5000 0.5000
C 0.0000 0.0000 0.5000
C 0.0000 0.5000 0.0000
C 0.5000 0.0000 0.0000

Formation energy from the elements = 376 kJ per mole of atoms
Space-group type = Pm-3m, No. 221
Spin magnetization = 0.00 μB/cell
Distance to the lowest polymorph of the same formula = 10.81 eV per formula unit



Here is a relaxed structure of LiPmPF from Alexandria via LeMat-Bulk. Energies are from PBE.

Cell lengths 3.8556, 3.8556, 8.9062 Å; angles 90.00, 90.00, 90.00 degrees
Element x y z (fractional)
Li 0.2500 0.7500 0.0000
Li 0.7500 0.2500 0.0000
Pm 0.2500 0.2500 0.3203
Pm 0.7500 0.7500 0.6797
P 0.2500 0.2500 0.8168
P 0.7500 0.7500 0.1832
F 0.2500 0.7500 0.5000
F 0.7500 0.2500 0.5000

Space-group type = P4/nmm, No. 129
Spin magnetization = 0.00 μB/cell
Formation energy (no corrections) = -2.10 eV per atom



Here is a relaxed structure of TlCoP2S from Alexandria via LeMat-Bulk. Energies are from PBE.

Cell lengths 4.2790, 4.2790, 5.3059 Å; angles 90.00, 90.00, 90.00 degrees
Element x y z (fractional)
Tl 0.0000 0.0000 0.0000
Co 0.5000 0.5000 0.5000
P 0.0000 0.5000 0.5000
P 0.5000 0.0000 0.5000
S 0.5000 0.5000 0.0000

Space-group type = P4/mmm, No. 123
Spin magnetization = 0.00 μB/cell
Distance to the lowest polymorph of the same formula = 0.00 eV per formula unit
Formation energy (no corrections) = 0.34 eV per atom



Here is a relaxed structure of Cu2TcBr from Alexandria via LeMat-Bulk. Energies are from PBE.

Cell lengths 6.7535, 6.7535, 6.7535 Å; angles 155.20, 145.93, 42.59 degrees
Element x y z (fractional)
Cu 0.0000 0.0000 0.0000
Cu 0.6138 0.1138 0.5000
Tc 0.1769 0.6769 0.5000
Br 0.3424 0.3424 0.0000

Space-group type = Imm2, No. 44
Spin magnetization = 0.44 μB/cell
Distance to the lowest polymorph of the same formula = 0.04 eV per formula unit
Formation energy (no corrections) = 0.52 eV per atom



Here is a relaxed structure of Ho3TcO6 from Alexandria via LeMat-Bulk. Energies are from PBE.

Cell lengths 6.4949, 6.4949, 6.4949 Å; angles 98.28, 98.28, 98.28 degrees
Element x y z (fractional)
Ho 0.1038 0.6131 0.7864
Ho 0.2136 0.8962 0.3869
Ho 0.3869 0.2136 0.8962
Ho 0.6131 0.7864 0.1038
Ho 0.7864 0.1038 0.6131
Ho 0.8962 0.3869 0.2136
Tc 0.0000 0.0000 0.0000
Tc 0.5000 0.5000 0.5000
O 0.0672 0.3077 0.9216
O 0.0784 0.9328 0.6923
O 0.1925 0.5528 0.4368
O 0.3077 0.9216 0.0672
O 0.4368 0.1925 0.5528
O 0.4472 0.5632 0.8075
O 0.5528 0.4368 0.1925
O 0.5632 0.8075 0.4472
O 0.6923 0.0784 0.9328
O 0.8075 0.4472 0.5632
O 0.9216 0.0672 0.3077
O 0.9328 0.6923 0.0784

Space-group type = R-3, No. 148
Spin magnetization = 4.00 μB/cell
Formation energy (no corrections) = -2.94 eV per atom